VASP calculation (PBE) on a relaxed structure of CaHgMo.

Its crystal system is cubic. For the formation energy, the calculation gives 2.52 eV per formula unit. For the energy relative to the lowest polymorph listed for this composition, the calculation gives 0.360 eV/atom. The calculation puts the theoretical density at 6.84 g/cm3.

Cell and atoms, written as extended XYZ:
```
3
Lattice="-1.153 2.012 -4.283 -4.406 -0.751 -1.936 -3.229 3.641 -0.189" Properties=species:S:1:pos:R:3 pbc="T T T"
Mo 0.000 0.000 0.000
Ca -4.394 2.452 -3.204
Hg -6.592 3.677 -4.806
```